# PBE-GGA SrRe2Os, relaxed
data_SrRe2Os
_chemical_formula_sum 'Sr2 Re4 Os2'
_space_group_name_H-M_alt 'I m m m'
_space_group_IT_number 71
_space_group_name_Hall '-I 2 2'
_cell_length_a 2.8063
_cell_length_b 5.0046
_cell_length_c 10.5548
_cell_angle_alpha 90.00
_cell_angle_beta 90.00
_cell_angle_gamma 90.00
loop_
_atom_site_label
_atom_site_type_symbol
_atom_site_fract_x
_atom_site_fract_y
_atom_site_fract_z
Sr1 Sr 0.0000 0.0000 0.0000
Re1 Re 0.0000 0.5000 0.2112
Os1 Os 0.0000 0.0000 0.5000
# - VASP energy: -34.53 eV per formula unit
# - Total magnetic moment: 0.001 Bohr magnetons per cell
# - Energy relative to the elements: 0.818 eV per atom
# - Energy relative to the lowest polymorph listed for this composition: 0.1583 eV/atom

=====

# PBE-GGA Sr2ReOs, relaxed
data_Sr2ReOs
_chemical_formula_sum 'Sr6 Re3 Os3'
_space_group_name_H-M_alt 'R -3 m'
_space_group_IT_number 166
_space_group_name_Hall '-R 3 2"'
_cell_length_a 3.0587
_cell_length_b 3.0587
_cell_length_c 31.3521
_cell_angle_alpha 90.00
_cell_angle_beta 90.00
_cell_angle_gamma 120.00
loop_
_atom_site_label
_atom_site_type_symbol
_atom_site_fract_x
_atom_site_fract_y
_atom_site_fract_z
Sr1 Sr 0.0000 0.0000 0.2471
Re1 Re 0.0000 0.0000 0.0000
Os1 Os 0.0000 0.0000 0.5000
# - VASP energy: -21.55 eV per formula unit
# - Total magnetic moment: 0.000 Bohr magnetons per cell
# - Energy relative to the elements: 1.374 eV per atom
# - Energy relative to the lowest polymorph listed for this composition: 1.1655 eV/atom

=====

# PBE-GGA SrRe2Os, relaxed
data_SrRe2Os
_chemical_formula_sum 'Sr2 Re4 Os2'
_space_group_name_H-M_alt 'C m m m'
_space_group_IT_number 65
_space_group_name_Hall '-C 2 2'
_cell_length_a 5.6235
_cell_length_b 9.3919
_cell_length_c 2.6681
_cell_angle_alpha 90.00
_cell_angle_beta 90.00
_cell_angle_gamma 90.00
loop_
_atom_site_label
_atom_site_type_symbol
_atom_site_fract_x
_atom_site_fract_y
_atom_site_fract_z
Sr1 Sr 0.0000 0.0000 0.0000
Re1 Re 0.2500 0.2500 0.5000
Os1 Os 0.0000 0.5000 0.0000
# - VASP energy: -32.92 eV per formula unit
# - Total magnetic moment: 0.000 Bohr magnetons per cell
# - Energy relative to the elements: 1.223 eV per atom
# - Energy relative to the lowest polymorph listed for this composition: 0.5631 eV/atom

=====

# PBE-GGA SrReOs2, relaxed
data_SrReOs2
_chemical_formula_sum 'Sr1 Re1 Os2'
_space_group_name_H-M_alt 'P 4/m m m'
_space_group_IT_number 123
_space_group_name_Hall '-P 4 2'
_cell_length_a 2.9722
_cell_length_b 2.9722
_cell_length_c 8.2322
_cell_angle_alpha 90.00
_cell_angle_beta 90.00
_cell_angle_gamma 90.00
loop_
_atom_site_label
_atom_site_type_symbol
_atom_site_fract_x
_atom_site_fract_y
_atom_site_fract_z
Sr1 Sr 0.0000 0.0000 0.0000
Re1 Re 0.0000 0.0000 0.5000
Os1 Os 0.5000 0.5000 0.3021
# - VASP energy: -34.24 eV per formula unit
# - Total magnetic moment: 0.000 Bohr magnetons per cell
# - Energy relative to the elements: 0.588 eV per atom
# - Energy relative to the lowest polymorph listed for this composition: 0.0000 eV/atom

=====

# PBE-GGA SrRe2Os, relaxed
data_SrRe2Os
_chemical_formula_sum 'Sr4 Re8 Os4'
_space_group_name_H-M_alt 'F -4 3 m'
_space_group_IT_number 216
_space_group_name_Hall 'F -4 2 3'
_cell_length_a 6.5195
_cell_length_b 6.5195
_cell_length_c 6.5195
_cell_angle_alpha 90.00
_cell_angle_beta 90.00
_cell_angle_gamma 90.00
loop_
_atom_site_label
_atom_site_type_symbol
_atom_site_fract_x
_atom_site_fract_y
_atom_site_fract_z
Sr1 Sr 0.0000 0.0000 0.0000
Re1 Re 0.0000 0.0000 0.5000
Re2 Re 0.2500 0.2500 0.7500
Os1 Os 0.2500 0.2500 0.2500
# - VASP energy: -33.60 eV per formula unit
# - Total magnetic moment: 0.000 Bohr magnetons per cell
# - Energy relative to the elements: 1.052 eV per atom
# - Energy relative to the lowest polymorph listed for this composition: 0.3915 eV/atom

=====

# PBE-GGA SrRe2Os, relaxed
data_SrRe2Os
_chemical_formula_sum 'Sr4 Re8 Os4'
_space_group_name_H-M_alt 'F m -3 m'
_space_group_IT_number 225
_space_group_name_Hall '-F 4 2 3'
_cell_length_a 6.4968
_cell_length_b 6.4968
_cell_length_c 6.4968
_cell_angle_alpha 90.00
_cell_angle_beta 90.00
_cell_angle_gamma 90.00
loop_
_atom_site_label
_atom_site_type_symbol
_atom_site_fract_x
_atom_site_fract_y
_atom_site_fract_z
Sr1 Sr 0.0000 0.0000 0.0000
Re1 Re 0.2500 0.2500 0.2500
Os1 Os 0.0000 0.0000 0.5000
# - VASP energy: -33.01 eV per formula unit
# - Total magnetic moment: 0.000 Bohr magnetons per cell
# - Energy relative to the elements: 1.200 eV per atom
# - Energy relative to the lowest polymorph listed for this composition: 0.5395 eV/atom

=====

# PBE-GGA SrRe2Os, relaxed
data_SrRe2Os
_chemical_formula_sum 'Sr2 Re4 Os2'
_space_group_name_H-M_alt 'I m m 2'
_space_group_IT_number 44
_space_group_name_Hall 'I 2 -2'
_cell_length_a 2.8232
_cell_length_b 5.0974
_cell_length_c 10.2664
_cell_angle_alpha 90.00
_cell_angle_beta 90.00
_cell_angle_gamma 90.00
loop_
_atom_site_label
_atom_site_type_symbol
_atom_site_fract_x
_atom_site_fract_y
_atom_site_fract_z
Sr1 Sr 0.0000 0.0000 0.0000
Re1 Re 0.0000 0.0000 0.4941
Re2 Re 0.0000 0.5000 0.2124
Os1 Os 0.0000 0.5000 0.7828
# - VASP energy: -34.10 eV per formula unit
# - Total magnetic moment: 0.000 Bohr magnetons per cell
# - Energy relative to the elements: 0.928 eV per atom
# - Energy relative to the lowest polymorph listed for this composition: 0.2680 eV/atom

=====

# PBE-GGA SrReOs2, relaxed
data_SrReOs2
_chemical_formula_sum 'Sr1 Re1 Os2'
_space_group_name_H-M_alt 'P m m 2'
_space_group_IT_number 25
_space_group_name_Hall 'P 2 -2'
_cell_length_a 2.7879
_cell_length_b 3.7933
_cell_length_c 7.3145
_cell_angle_alpha 90.00
_cell_angle_beta 90.00
_cell_angle_gamma 90.00
loop_
_atom_site_label
_atom_site_type_symbol
_atom_site_fract_x
_atom_site_fract_y
_atom_site_fract_z
Sr1 Sr 0.0000 0.0000 0.0000
Re1 Re 0.5000 0.5000 0.6620
Os1 Os 0.0000 0.0000 0.4972
Os2 Os 0.5000 0.5000 0.3114
# - VASP energy: -33.69 eV per formula unit
# - Total magnetic moment: 0.000 Bohr magnetons per cell
# - Energy relative to the elements: 0.724 eV per atom
# - Energy relative to the lowest polymorph listed for this composition: 0.1355 eV/atom

=====

# PBE-GGA SrReOs2, relaxed
data_SrReOs2
_chemical_formula_sum 'Sr2 Re2 Os4'
_space_group_name_H-M_alt 'I m m m'
_space_group_IT_number 71
_space_group_name_Hall '-I 2 2'
_cell_length_a 2.8473
_cell_length_b 5.0852
_cell_length_c 10.0922
_cell_angle_alpha 90.00
_cell_angle_beta 90.00
_cell_angle_gamma 90.00
loop_
_atom_site_label
_atom_site_type_symbol
_atom_site_fract_x
_atom_site_fract_y
_atom_site_fract_z
Sr1 Sr 0.0000 0.0000 0.0000
Re1 Re 0.0000 0.0000 0.5000
Os1 Os 0.0000 0.5000 0.2152
# - VASP energy: -32.80 eV per formula unit
# - Total magnetic moment: 0.000 Bohr magnetons per cell
# - Energy relative to the elements: 0.948 eV per atom
# - Energy relative to the lowest polymorph listed for this composition: 0.3595 eV/atom

=====

# PBE-GGA SrReOs2, relaxed
data_SrReOs2
_chemical_formula_sum 'Sr4 Re4 Os8'
_space_group_name_H-M_alt 'I -4 2 d'
_space_group_IT_number 122
_space_group_name_Hall 'I -4 2bw'
_cell_length_a 7.5174
_cell_length_b 7.5174
_cell_length_c 5.9912
_cell_angle_alpha 90.00
_cell_angle_beta 90.00
_cell_angle_gamma 90.00
loop_
_atom_site_label
_atom_site_type_symbol
_atom_site_fract_x
_atom_site_fract_y
_atom_site_fract_z
Sr1 Sr 0.0000 0.0000 0.0000
Re1 Re 0.0000 0.0000 0.5000
Os1 Os 0.1820 0.2500 0.6250
# - VASP energy: -32.44 eV per formula unit
# - Total magnetic moment: 0.000 Bohr magnetons per cell
# - Energy relative to the elements: 1.037 eV per atom
# - Energy relative to the lowest polymorph listed for this composition: 0.4482 eV/atom

=====

# PBE-GGA Sr2ReOs, relaxed
data_Sr2ReOs
_chemical_formula_sum 'Sr4 Re2 Os2'
_space_group_name_H-M_alt 'C m m m'
_space_group_IT_number 65
_space_group_name_Hall '-C 2 2'
_cell_length_a 4.0512
_cell_length_b 4.1274
_cell_length_c 10.2095
_cell_angle_alpha 90.00
_cell_angle_beta 90.00
_cell_angle_gamma 90.00
loop_
_atom_site_label
_atom_site_type_symbol
_atom_site_fract_x
_atom_site_fract_y
_atom_site_fract_z
Sr1 Sr 0.0000 0.0000 0.2420
Re1 Re 0.0000 0.5000 0.5000
Os1 Os 0.0000 0.5000 0.0000
# - VASP energy: -22.12 eV per formula unit
# - Total magnetic moment: 0.005 Bohr magnetons per cell
# - Energy relative to the elements: 1.231 eV per atom
# - Energy relative to the lowest polymorph listed for this composition: 1.0228 eV/atom

=====

# PBE-GGA Sr2ReOs, relaxed
data_Sr2ReOs
_chemical_formula_sum 'Sr2 Re1 Os1'
_space_group_name_H-M_alt 'P 4/m m m'
_space_group_IT_number 123
_space_group_name_Hall '-P 4 2'
_cell_length_a 4.1090
_cell_length_b 4.1090
_cell_length_c 5.5306
_cell_angle_alpha 90.00
_cell_angle_beta 90.00
_cell_angle_gamma 90.00
loop_
_atom_site_label
_atom_site_type_symbol
_atom_site_fract_x
_atom_site_fract_y
_atom_site_fract_z
Sr1 Sr 0.0000 0.0000 0.2481
Re1 Re 0.5000 0.5000 0.5000
Os1 Os 0.5000 0.5000 0.0000
# - VASP energy: -21.70 eV per formula unit
# - Total magnetic moment: 0.638 Bohr magnetons per cell
# - Energy relative to the elements: 1.334 eV per atom
# - Energy relative to the lowest polymorph listed for this composition: 1.1264 eV/atom

=====

# PBE-GGA SrRe2Os, relaxed
data_SrRe2Os
_chemical_formula_sum 'Sr1 Re2 Os1'
_space_group_name_H-M_alt 'P 1 2/m 1'
_space_group_IT_number 10
_space_group_name_Hall '-P 2y'
_cell_length_a 2.8050
_cell_length_b 3.7714
_cell_length_c 7.5318
_cell_angle_alpha 90.00
_cell_angle_beta 90.12
_cell_angle_gamma 90.00
loop_
_atom_site_label
_atom_site_type_symbol
_atom_site_fract_x
_atom_site_fract_y
_atom_site_fract_z
Sr1 Sr 0.0000 0.0000 0.0000
Re1 Re 0.4999 0.5000 0.3293
Os1 Os 0.0000 0.0000 0.5000
# - VASP energy: -34.82 eV per formula unit
# - Total magnetic moment: 0.001 Bohr magnetons per cell
# - Energy relative to the elements: 0.746 eV per atom
# - Energy relative to the lowest polymorph listed for this composition: 0.0861 eV/atom

=====

# PBE-GGA SrRe2Os, relaxed
data_SrRe2Os
_chemical_formula_sum 'Sr4 Re8 Os4'
_space_group_name_H-M_alt 'I -4 2 d'
_space_group_IT_number 122
_space_group_name_Hall 'I -4 2bw'
_cell_length_a 7.6774
_cell_length_b 7.6774
_cell_length_c 5.6904
_cell_angle_alpha 90.00
_cell_angle_beta 90.00
_cell_angle_gamma 90.00
loop_
_atom_site_label
_atom_site_type_symbol
_atom_site_fract_x
_atom_site_fract_y
_atom_site_fract_z
Sr1 Sr 0.0000 0.0000 0.0000
Re1 Re 0.1827 0.2500 0.6250
Os1 Os 0.0000 0.0000 0.5000
# - VASP energy: -33.06 eV per formula unit
# - Total magnetic moment: 0.000 Bohr magnetons per cell
# - Energy relative to the elements: 1.187 eV per atom
# - Energy relative to the lowest polymorph listed for this composition: 0.5267 eV/atom

=====

# PBE-GGA SrReOs2, relaxed
data_SrReOs2
_chemical_formula_sum 'Sr4 Re4 Os8'
_space_group_name_H-M_alt 'F -4 3 m'
_space_group_IT_number 216
_space_group_name_Hall 'F -4 2 3'
_cell_length_a 6.5104
_cell_length_b 6.5104
_cell_length_c 6.5104
_cell_angle_alpha 90.00
_cell_angle_beta 90.00
_cell_angle_gamma 90.00
loop_
_atom_site_label
_atom_site_type_symbol
_atom_site_fract_x
_atom_site_fract_y
_atom_site_fract_z
Sr1 Sr 0.0000 0.0000 0.0000
Re1 Re 0.2500 0.2500 0.2500
Os1 Os 0.0000 0.0000 0.5000
Os2 Os 0.2500 0.2500 0.7500
# - VASP energy: -31.62 eV per formula unit
# - Total magnetic moment: 3.871 Bohr magnetons per cell
# - Energy relative to the elements: 1.243 eV per atom
# - Energy relative to the lowest polymorph listed for this composition: 0.6548 eV/atom